No. 1
# MnInSiOs2, relaxed, DFT GGA-PBE
data_MnInSiOs2
_chemical_formula_sum 'Mn1 In1 Si1 Os2'
_cell_length_a 4.542
_cell_length_b 4.239
_cell_length_c 4.542
_cell_angle_alpha 90.00
_cell_angle_beta 90.00
_cell_angle_gamma 90.00
_symmetry_space_group_name_H-M 'P 1'
_symmetry_Int_Tables_number 1
_symmetry_space_group_name_Hall 'P 1'
loop_
_atom_site_label
_atom_site_type_symbol
_atom_site_fract_x
_atom_site_fract_y
_atom_site_fract_z
Si1 Si 0.000 0.500 0.000
Mn1 Mn 0.000 0.000 0.000
Os1 Os 0.000 0.000 0.500
Os2 Os 0.500 0.000 0.000
In1 In 0.500 0.500 0.500
# - Formation energy (no corrections): 1.075 eV per atom
# - Spin magnetization: 0.00 μB/f.u.
# - Calculated volume: 17.49 Å³ per atom
# - Space-group type: P4/mmm, No. 123

No. 2
# SnSBr2, relaxed, DFT GGA-PBE
data_SnSBr2
_chemical_formula_sum 'Sn1 S1 Br2'
_cell_length_a 9.403
_cell_length_b 9.403
_cell_length_c 9.403
_cell_angle_alpha 24.41
_cell_angle_beta 24.41
_cell_angle_gamma 24.41
_symmetry_space_group_name_H-M 'P 1'
_symmetry_Int_Tables_number 1
_symmetry_space_group_name_Hall 'P 1'
loop_
_atom_site_label
_atom_site_type_symbol
_atom_site_fract_x
_atom_site_fract_y
_atom_site_fract_z
S1 S 0.000 0.000 0.000
Sn1 Sn 0.500 0.500 0.500
Br1 Br 0.909 0.909 0.909
Br2 Br 0.091 0.091 0.091
# - Formation energy (no corrections): 0.135 eV per atom
# - Spin magnetization: 0.64 μB/f.u.
# - Calculated volume: 31.19 Å³ per atom
# - Space-group type: R-3m, No. 166

No. 3
# RbFeMo2Pb, relaxed, DFT GGA-PBE
data_RbFeMo2Pb
_chemical_formula_sum 'Rb1 Fe1 Mo2 Pb1'
_cell_length_a 4.908
_cell_length_b 4.642
_cell_length_c 4.908
_cell_angle_alpha 90.00
_cell_angle_beta 90.00
_cell_angle_gamma 90.00
_symmetry_space_group_name_H-M 'P 1'
_symmetry_Int_Tables_number 1
_symmetry_space_group_name_Hall 'P 1'
loop_
_atom_site_label
_atom_site_type_symbol
_atom_site_fract_x
_atom_site_fract_y
_atom_site_fract_z
Pb1 Pb 0.500 0.500 0.500
Mo1 Mo 0.000 0.000 0.500
Mo2 Mo 0.500 0.000 0.000
Fe1 Fe 0.000 0.500 0.000
Rb1 Rb 0.000 0.000 0.000
# - E_form: 281 kJ per mole of atoms
# - Spin magnetization: 5.34 μB/f.u.
# - Calculated volume: 22.37 Å³ per atom
# - Space-group type: P4/mmm, No. 123

No. 4
# Li2YHo, relaxed, DFT GGA-PBE
data_Li2YHo
_chemical_formula_sum 'Li2 Y1 Ho1'
_cell_length_a 5.242
_cell_length_b 5.242
_cell_length_c 5.242
_cell_angle_alpha 60.00
_cell_angle_beta 60.00
_cell_angle_gamma 60.00
_symmetry_space_group_name_H-M 'P 1'
_symmetry_Int_Tables_number 1
_symmetry_space_group_name_Hall 'P 1'
loop_
_atom_site_label
_atom_site_type_symbol
_atom_site_fract_x
_atom_site_fract_y
_atom_site_fract_z
Y1 Y 0.500 0.500 0.500
Ho1 Ho 0.000 0.000 0.000
Li1 Li 0.250 0.250 0.250
Li2 Li 0.750 0.750 0.750
# - E_form: 14 kJ per mole of atoms
# - Spin magnetization: 0.00 μB/f.u.
# - Calculated volume: 25.47 Å³ per atom
# - Space-group type: Fm-3m, No. 225

No. 5
# NpBeRu2, relaxed, DFT GGA-PBE
data_NpBeRu2
_chemical_formula_sum 'Np1 Be1 Ru2'
_cell_length_a 3.013
_cell_length_b 3.013
_cell_length_c 6.419
_cell_angle_alpha 90.00
_cell_angle_beta 90.00
_cell_angle_gamma 90.00
_symmetry_space_group_name_H-M 'P 1'
_symmetry_Int_Tables_number 1
_symmetry_space_group_name_Hall 'P 1'
loop_
_atom_site_label
_atom_site_type_symbol
_atom_site_fract_x
_atom_site_fract_y
_atom_site_fract_z
Np1 Np 0.500 0.500 0.500
Ru1 Ru 0.000 0.000 0.792
Ru2 Ru 0.000 0.000 0.208
Be1 Be 0.500 0.500 0.000
# - E_form: -4 kJ per mole of atoms
# - Spin magnetization: 1.98 μB/f.u.
# - Calculated volume: 14.57 Å³ per atom
# - Space-group type: P4/mmm, No. 123

No. 6
# PaSeI, relaxed, DFT GGA-PBE
data_PaSeI
_chemical_formula_sum 'Pa1 Se1 I1'
_cell_length_a 3.675
_cell_length_b 3.675
_cell_length_c 7.569
_cell_angle_alpha 104.05
_cell_angle_beta 104.05
_cell_angle_gamma 90.00
_symmetry_space_group_name_H-M 'P 1'
_symmetry_Int_Tables_number 1
_symmetry_space_group_name_Hall 'P 1'
loop_
_atom_site_label
_atom_site_type_symbol
_atom_site_fract_x
_atom_site_fract_y
_atom_site_fract_z
I1 I 0.036 0.036 0.072
Pa1 Pa 0.682 0.682 0.364
Se1 Se 0.282 0.282 0.564
# - Formation energy (no corrections): -1.024 eV per atom
# - Spin magnetization: 1.66 μB/f.u.
# - Calculated volume: 32.01 Å³ per atom
# - Space-group type: I4mm, No. 107

No. 7
# SiPt2WAu, relaxed, DFT GGA-PBE
data_SiPt2WAu
_chemical_formula_sum 'Si1 Pt2 W1 Au1'
_cell_length_a 4.970
_cell_length_b 4.792
_cell_length_c 4.970
_cell_angle_alpha 90.00
_cell_angle_beta 90.00
_cell_angle_gamma 90.00
_symmetry_space_group_name_H-M 'P 1'
_symmetry_Int_Tables_number 1
_symmetry_space_group_name_Hall 'P 1'
loop_
_atom_site_label
_atom_site_type_symbol
_atom_site_fract_x
_atom_site_fract_y
_atom_site_fract_z
Si1 Si 0.500 0.500 0.500
Au1 Au 0.000 0.000 0.000
W1 W 0.000 0.500 0.000
Pt1 Pt 0.000 0.000 0.500
Pt2 Pt 0.500 0.000 0.000
# - Formation energy (no corrections): 1.965 eV per atom
# - Spin magnetization: 1.72 μB/f.u.
# - Calculated volume: 23.67 Å³ per atom
# - Space-group type: P4/mmm, No. 123

No. 8
# KPmAs4, relaxed, DFT GGA-PBE
data_KPmAs4
_chemical_formula_sum 'K1 Pm1 As4'
_cell_length_a 5.821
_cell_length_b 5.821
_cell_length_c 5.821
_cell_angle_alpha 60.00
_cell_angle_beta 60.00
_cell_angle_gamma 60.00
_symmetry_space_group_name_H-M 'P 1'
_symmetry_Int_Tables_number 1
_symmetry_space_group_name_Hall 'P 1'
loop_
_atom_site_label
_atom_site_type_symbol
_atom_site_fract_x
_atom_site_fract_y
_atom_site_fract_z
As1 As 0.625 0.625 0.125
As2 As 0.625 0.125 0.625
As3 As 0.625 0.625 0.625
As4 As 0.125 0.625 0.625
K1 K 0.000 0.000 0.000
Pm1 Pm 0.250 0.250 0.250
# - E_form: -29 kJ per mole of atoms
# - Spin magnetization: 0.00 μB/f.u.
# - Calculated volume: 23.24 Å³ per atom
# - Space-group type: F-43m, No. 216

No. 9
# TbSbO4, relaxed, DFT GGA-PBE
data_TbSbO4
_chemical_formula_sum 'Tb4 Sb4 O16'
_cell_length_a 5.409
_cell_length_b 7.587
_cell_length_c 7.680
_cell_angle_alpha 81.05
_cell_angle_beta 90.00
_cell_angle_gamma 90.00
_symmetry_space_group_name_H-M 'P 1'
_symmetry_Int_Tables_number 1
_symmetry_space_group_name_Hall 'P 1'
loop_
_atom_site_label
_atom_site_type_symbol
_atom_site_fract_x
_atom_site_fract_y
_atom_site_fract_z
Tb1 Tb 0.725 0.391 0.355
Tb2 Tb 0.275 0.609 0.645
Tb3 Tb 0.775 0.891 0.355
Tb4 Tb 0.225 0.109 0.645
Sb1 Sb 0.769 0.807 0.837
Sb2 Sb 0.231 0.193 0.163
Sb3 Sb 0.269 0.693 0.163
Sb4 Sb 0.731 0.307 0.837
O1 O 0.906 0.307 0.067
O2 O 0.094 0.693 0.933
O3 O 0.380 0.439 0.171
O4 O 0.620 0.561 0.829
O5 O 0.120 0.939 0.171
O6 O 0.880 0.061 0.829
O7 O 0.594 0.807 0.067
O8 O 0.406 0.193 0.933
O9 O 0.977 0.826 0.615
O10 O 0.023 0.174 0.385
O11 O 0.477 0.674 0.385
O12 O 0.523 0.326 0.615
O13 O 0.509 0.121 0.324
O14 O 0.491 0.879 0.676
O15 O 0.991 0.621 0.324
O16 O 0.009 0.379 0.676
# - Formation energy (no corrections): -2.398 eV per atom
# - Spin magnetization: 0.00 μB/f.u.
# - Calculated volume: 12.97 Å³ per atom
# - Space-group type: P2_1/c, No. 14

No. 10
# AcUNiS4, relaxed, DFT GGA-PBE
data_AcUNiS4
_chemical_formula_sum 'Ac2 U2 Ni2 S8'
_cell_length_a 6.332
_cell_length_b 6.026
_cell_length_c 8.109
_cell_angle_alpha 90.00
_cell_angle_beta 107.57
_cell_angle_gamma 90.00
_symmetry_space_group_name_H-M 'P 1'
_symmetry_Int_Tables_number 1
_symmetry_space_group_name_Hall 'P 1'
loop_
_atom_site_label
_atom_site_type_symbol
_atom_site_fract_x
_atom_site_fract_y
_atom_site_fract_z
Ac1 Ac 0.745 0.750 0.938
Ac2 Ac 0.255 0.250 0.062
U1 U 0.762 0.750 0.445
U2 U 0.238 0.250 0.555
Ni1 Ni 0.233 0.750 0.327
Ni2 Ni 0.767 0.250 0.673
S1 S 0.021 0.512 0.730
S2 S 0.979 0.012 0.270
S3 S 0.979 0.488 0.270
S4 S 0.021 0.988 0.730
S5 S 0.425 0.750 0.135
S6 S 0.575 0.250 0.865
S7 S 0.436 0.750 0.595
S8 S 0.564 0.250 0.405
# - Formation energy (no corrections): -1.416 eV per atom
# - Spin magnetization: 1.38 μB/f.u.
# - Calculated volume: 21.07 Å³ per atom
# - Space-group type: P2_1/m, No. 11

- What is the calculated volume in the fifth record?
  14.57 Å³ per atom

Copy entry 10 word for word.
# AcUNiS4, relaxed, DFT GGA-PBE
data_AcUNiS4
_chemical_formula_sum 'Ac2 U2 Ni2 S8'
_cell_length_a 6.332
_cell_length_b 6.026
_cell_length_c 8.109
_cell_angle_alpha 90.00
_cell_angle_beta 107.57
_cell_angle_gamma 90.00
_symmetry_space_group_name_H-M 'P 1'
_symmetry_Int_Tables_number 1
_symmetry_space_group_name_Hall 'P 1'
loop_
_atom_site_label
_atom_site_type_symbol
_atom_site_fract_x
_atom_site_fract_y
_atom_site_fract_z
Ac1 Ac 0.745 0.750 0.938
Ac2 Ac 0.255 0.250 0.062
U1 U 0.762 0.750 0.445
U2 U 0.238 0.250 0.555
Ni1 Ni 0.233 0.750 0.327
Ni2 Ni 0.767 0.250 0.673
S1 S 0.021 0.512 0.730
S2 S 0.979 0.012 0.270
S3 S 0.979 0.488 0.270
S4 S 0.021 0.988 0.730
S5 S 0.425 0.750 0.135
S6 S 0.575 0.250 0.865
S7 S 0.436 0.750 0.595
S8 S 0.564 0.250 0.405
# - Formation energy (no corrections): -1.416 eV per atom
# - Spin magnetization: 1.38 μB/f.u.
# - Calculated volume: 21.07 Å³ per atom
# - Space-group type: P2_1/m, No. 11

- Among the records above, which one has the highest calculated volume?
  PaSeI